Entry 1:
A plane-wave DFT calculation with PBE was carried out for crystalline YMnIr2Br at its relaxed geometry.

For the uncorrected formation energy, the calculation gives 1.0609 eV/atom. Its density of states at the Fermi level is 0.759 states/eV/atom. The total energy comes out at -5.945 eV per atom.

Cell lengths 4.714, 4.714, 5.030 Å; angles 90.00, 90.00, 90.00 degrees
Space group P4/mmm (No. 123)
Symmetry-distinct sites (fractional):
Y 0.000 0.000 0.000
Mn 0.500 0.500 0.000
Ir 0.000 0.500 0.500
Br 0.000 0.000 0.500

Entry 2:
A plane-wave DFT calculation with PBE was carried out for crystalline MoIrBr3 at its relaxed geometry.

For the uncorrected formation energy, the calculation gives 0.9464 eV/atom. The calculation puts the energy above the lowest structure with this stoichiometry at 0 meV per atom. Its density of states at the Fermi level is 1.289 states/eV/atom. The total energy comes out at -3.996 eV per atom.

Cell lengths 5.094, 5.094, 5.094 Å; angles 90.00, 90.00, 90.00 degrees
Space group Pm-3m (No. 221)
Symmetry-distinct sites (fractional):
Mo 0.000 0.000 0.000
Ir 0.500 0.500 0.500
Br 0.000 0.500 0.500

Entry 3:
A plane-wave DFT calculation with PBE was carried out for crystalline MoIrBr2 at its relaxed geometry.

For the uncorrected formation energy, the calculation gives 0.0139 eV/atom. The calculation puts the energy above the lowest structure with this stoichiometry at 0 meV per atom. Its density of states at the Fermi level is 0.774 states/eV/atom. The total energy comes out at -5.746 eV per atom.

Cell lengths 6.491, 3.573, 9.057 Å; angles 90.00, 105.46, 90.00 degrees
Space group Cm (No. 8)
Symmetry-distinct sites (fractional):
Mo 0.000 0.000 0.000
Ir 0.273 0.000 0.862
Br 0.150 0.500 0.225
Br 0.493 0.000 0.646

Entry 4:
A plane-wave DFT calculation with PBE was carried out for crystalline MoIrBr2 at its relaxed geometry.

For the uncorrected formation energy, the calculation gives 0.7148 eV/atom. The calculation puts the energy above the lowest structure with this stoichiometry at 701 meV per atom. Its density of states at the Fermi level is 0.859 states/eV/atom. The total energy comes out at -5.045 eV per atom.

Cell lengths 3.1469, 3.1469, 26.0795 Å; angles 90.00, 90.00, 120.00 degrees
Space group R-3m (No. 166, hexagonal axes)
Symmetry-distinct sites (fractional):
Mo 0.0000 0.0000 0.0000
Ir 0.0000 0.0000 0.5000
Br 0.0000 0.0000 0.4061

Entry 5:
A plane-wave DFT calculation with PBE was carried out for crystalline MoIrBr2 at its relaxed geometry.

For the uncorrected formation energy, the calculation gives 1.0403 eV/atom. The calculation puts the energy above the lowest structure with this stoichiometry at 1026 meV per atom. Its density of states at the Fermi level is 1.105 states/eV/atom. The total energy comes out at -4.719 eV per atom.

Cell lengths 2.978, 5.608, 9.040 Å; angles 90.00, 90.00, 90.00 degrees
Space group Cmmm (No. 65)
Symmetry-distinct sites (fractional):
Mo 0.000 0.000 0.000
Ir 0.000 0.000 0.500
Br 0.000 0.500 0.238

Entry 6:
A plane-wave DFT calculation with PBE was carried out for crystalline MoIrBr2 at its relaxed geometry.

For the uncorrected formation energy, the calculation gives 0.9772 eV/atom. The calculation puts the energy above the lowest structure with this stoichiometry at 963 meV per atom. Its density of states at the Fermi level is 0.955 states/eV/atom. The total energy comes out at -4.782 eV per atom.

Cell lengths 5.969, 8.923, 3.167 Å; angles 90.00, 118.10, 90.00 degrees
Space group C2/m (No. 12)
Symmetry-distinct sites (fractional):
Mo 0.000 0.000 0.000
Ir 0.000 0.500 0.000
Br 0.250 0.250 0.000

Entry 7:
A plane-wave DFT calculation with PBE was carried out for crystalline MoIr3Br at its relaxed geometry.

For the uncorrected formation energy, the calculation gives 2.0762 eV/atom. The calculation puts the energy above the lowest structure with this stoichiometry at 235 meV per atom. Its density of states at the Fermi level is 1.701 states/eV/atom. The total energy comes out at -5.741 eV per atom.

Cell lengths 4.590, 4.590, 4.590 Å; angles 90.00, 90.00, 90.00 degrees
Space group Pm-3m (No. 221)
Symmetry-distinct sites (fractional):
Mo 0.000 0.000 0.000
Ir 0.000 0.500 0.500
Br 0.500 0.500 0.500

Entry 8:
A plane-wave DFT calculation with PBE was carried out for crystalline MoIrBr2 at its relaxed geometry.

For the uncorrected formation energy, the calculation gives 0.3543 eV/atom. The calculation puts the energy above the lowest structure with this stoichiometry at 340 meV per atom. Its density of states at the Fermi level is 0.533 states/eV/atom. The total energy comes out at -5.405 eV per atom.

Cell lengths 3.111, 3.455, 18.026 Å; angles 90.00, 90.00, 90.00 degrees
Space group Imm2 (No. 44)
Symmetry-distinct sites (fractional):
Mo 0.000 0.000 0.000
Ir 0.000 0.500 0.088
Br 0.000 0.000 0.406
Br 0.000 0.500 0.694

Entry 9:
A plane-wave DFT calculation with PBE was carried out for crystalline MoIrBr2 at its relaxed geometry.

For the uncorrected formation energy, the calculation gives 0.4496 eV/atom. The calculation puts the energy above the lowest structure with this stoichiometry at 436 meV per atom. Its density of states at the Fermi level is 1.005 states/eV/atom. The total energy comes out at -5.310 eV per atom.

Cell lengths 3.098, 4.340, 14.761 Å; angles 90.00, 90.00, 90.00 degrees
Space group Immm (No. 71)
Symmetry-distinct sites (fractional):
Mo 0.000 0.000 0.000
Ir 0.000 0.000 0.500
Br 0.000 0.500 0.355

Entry 10:
A plane-wave DFT calculation with PBE was carried out for crystalline MoIrBr2 at its relaxed geometry.

For the uncorrected formation energy, the calculation gives 1.1583 eV/atom. The calculation puts the energy above the lowest structure with this stoichiometry at 1144 meV per atom. Its density of states at the Fermi level is 1.056 states/eV/atom. The total energy comes out at -4.601 eV per atom.

Cell lengths 6.507, 6.507, 6.507 Å; angles 90.00, 90.00, 90.00 degrees
Space group Fm-3m (No. 225)
Symmetry-distinct sites (fractional):
Mo 0.000 0.000 0.000
Ir 0.000 0.000 0.500
Br 0.250 0.250 0.250

Entry 11:
A plane-wave DFT calculation with PBE was carried out for crystalline MoIrBr2 at its relaxed geometry.

For the uncorrected formation energy, the calculation gives 1.0891 eV/atom. The calculation puts the energy above the lowest structure with this stoichiometry at 1075 meV per atom. Its density of states at the Fermi level is 1.120 states/eV/atom. The total energy comes out at -4.670 eV per atom.

Cell lengths 6.684, 6.684, 6.684 Å; angles 90.00, 90.00, 90.00 degrees
Space group F-43m (No. 216)
Symmetry-distinct sites (fractional):
Mo 0.000 0.000 0.000
Ir 0.250 0.250 0.750
Br 0.000 0.000 0.500
Br 0.250 0.250 0.250

Entry 12:
A plane-wave DFT calculation with PBE was carried out for crystalline MoIrBr2 at its relaxed geometry.

For the uncorrected formation energy, the calculation gives 1.0991 eV/atom. The calculation puts the energy above the lowest structure with this stoichiometry at 1085 meV per atom. Its density of states at the Fermi level is 0.733 states/eV/atom. The total energy comes out at -4.660 eV per atom.

Cell lengths 3.227, 3.227, 6.579 Å; angles 90.00, 90.00, 90.00 degrees
Space group P4/mmm (No. 123)
Symmetry-distinct sites (fractional):
Mo 0.000 0.000 0.000
Ir 0.000 0.000 0.500
Br 0.500 0.500 0.237

Entry 13:
A plane-wave DFT calculation with PBE was carried out for crystalline MoIrBr2 at its relaxed geometry.

For the uncorrected formation energy, the calculation gives 1.0177 eV/atom. The calculation puts the energy above the lowest structure with this stoichiometry at 1004 meV per atom. Its density of states at the Fermi level is 1.045 states/eV/atom. The total energy comes out at -4.742 eV per atom.

Cell lengths 3.097, 4.453, 5.357 Å; angles 90.00, 94.59, 90.00 degrees
Space group P2/m (No. 10)
Symmetry-distinct sites (fractional):
Mo 0.000 0.000 0.000
Ir 0.500 0.000 0.500
Br 0.228 0.500 0.248

Entry 14:
A plane-wave DFT calculation with PBE was carried out for crystalline Mo3IrBr at its relaxed geometry.

For the uncorrected formation energy, the calculation gives 1.7471 eV/atom. The calculation puts the energy above the lowest structure with this stoichiometry at 0 meV per atom. Its density of states at the Fermi level is 1.749 states/eV/atom. The total energy comes out at -6.858 eV per atom.

Cell lengths 4.837, 4.837, 4.837 Å; angles 90.00, 90.00, 90.00 degrees
Space group Pm-3m (No. 221)
Symmetry-distinct sites (fractional):
Mo 0.000 0.000 0.500
Ir 0.000 0.000 0.000
Br 0.500 0.500 0.500

Entry 15:
A plane-wave DFT calculation with PBE was carried out for crystalline Mo3IrBr at its relaxed geometry.

For the uncorrected formation energy, the calculation gives 1.7653 eV/atom. The calculation puts the energy above the lowest structure with this stoichiometry at 18 meV per atom. Its density of states at the Fermi level is 2.047 states/eV/atom. The total energy comes out at -6.840 eV per atom.

Cell lengths 4.528, 4.528, 4.528 Å; angles 90.00, 90.00, 90.00 degrees
Space group Pm-3m (No. 221)
Symmetry-distinct sites (fractional):
Mo 0.000 0.000 0.500
Ir 0.500 0.500 0.500
Br 0.000 0.000 0.000

Entry 16:
A plane-wave DFT calculation with PBE was carried out for crystalline MoIrBr2 at its relaxed geometry.

For the uncorrected formation energy, the calculation gives 0.0794 eV/atom. The calculation puts the energy above the lowest structure with this stoichiometry at 66 meV per atom. Its density of states at the Fermi level is 0.916 states/eV/atom. The total energy comes out at -5.680 eV per atom.

Cell lengths 3.119, 3.229, 9.014 Å; angles 90.00, 90.13, 90.00 degrees
Space group Pm (No. 6)
Symmetry-distinct sites (fractional):
Mo 0.000 0.000 0.000
Ir 0.501 0.500 0.154
Br 0.503 0.000 0.386
Br 0.999 0.500 0.778

Entry 17:
A plane-wave DFT calculation with PBE was carried out for crystalline MoIrBr2 at its relaxed geometry.

For the uncorrected formation energy, the calculation gives 1.0258 eV/atom. The calculation puts the energy above the lowest structure with this stoichiometry at 1012 meV per atom. Its density of states at the Fermi level is 0.676 states/eV/atom. The total energy comes out at -4.734 eV per atom.

Cell lengths 5.272, 5.272, 5.366 Å; angles 90.00, 90.00, 90.00 degrees
Space group I-4m2 (No. 119)
Symmetry-distinct sites (fractional):
Mo 0.000 0.000 0.000
Ir 0.000 0.500 0.250
Br 0.000 0.000 0.500
Br 0.000 0.500 0.750

Entry 18:
A plane-wave DFT calculation with PBE was carried out for crystalline MoIrBr2 at its relaxed geometry.

For the uncorrected formation energy, the calculation gives 0.9412 eV/atom. The calculation puts the energy above the lowest structure with this stoichiometry at 927 meV per atom. Its density of states at the Fermi level is 1.117 states/eV/atom. The total energy comes out at -4.818 eV per atom.

Cell lengths 4.375, 4.375, 16.270 Å; angles 90.00, 90.00, 90.00 degrees
Space group I-42d (No. 122)
Symmetry-distinct sites (fractional):
Mo 0.000 0.000 0.000
Ir 0.000 0.000 0.500
Br 0.246 0.250 0.125

Entry 19:
A plane-wave DFT calculation with PBE was carried out for crystalline MoIrBr2 at its relaxed geometry.

For the uncorrected formation energy, the calculation gives 0.3619 eV/atom. The calculation puts the energy above the lowest structure with this stoichiometry at 348 meV per atom. Its density of states at the Fermi level is 0.594 states/eV/atom. The total energy comes out at -5.398 eV per atom.

Cell lengths 14.250, 3.152, 4.507 Å; angles 90.00, 95.24, 90.00 degrees
Space group C2/m (No. 12)
Symmetry-distinct sites (fractional):
Mo 0.000 0.000 0.000
Ir 0.000 0.500 0.500
Br 0.140 0.500 0.212

Entry 20:
A plane-wave DFT calculation with PBE was carried out for crystalline Mo4IrBr at its relaxed geometry.

For the uncorrected formation energy, the calculation gives 0.8506 eV/atom. Its density of states at the Fermi level is 0.592 states/eV/atom. The total energy comes out at -8.126 eV per atom.

Cell lengths 7.422, 7.422, 7.422 Å; angles 90.00, 90.00, 90.00 degrees
Space group F-43m (No. 216)
Symmetry-distinct sites (fractional):
Mo 0.125 0.125 0.125
Ir 0.000 0.000 0.500
Br 0.250 0.250 0.750

Entry 21:
A plane-wave DFT calculation with PBE was carried out for crystalline MoIr3Br at its relaxed geometry.

For the uncorrected formation energy, the calculation gives 1.8414 eV/atom. The calculation puts the energy above the lowest structure with this stoichiometry at 0 meV per atom. Its density of states at the Fermi level is 1.507 states/eV/atom. The total energy comes out at -5.976 eV per atom.

Cell lengths 4.781, 4.781, 4.781 Å; angles 90.00, 90.00, 90.00 degrees
Space group Pm-3m (No. 221)
Symmetry-distinct sites (fractional):
Mo 0.000 0.000 0.000
Ir 0.000 0.000 0.500
Br 0.500 0.500 0.500

Entry 22:
A plane-wave DFT calculation with PBE was carried out for crystalline MoIrBr2 at its relaxed geometry.

For the uncorrected formation energy, the calculation gives 0.9855 eV/atom. The calculation puts the energy above the lowest structure with this stoichiometry at 972 meV per atom. Its density of states at the Fermi level is 0.908 states/eV/atom. The total energy comes out at -4.774 eV per atom.

Cell lengths 3.015, 4.454, 5.581 Å; angles 90.00, 90.00, 90.00 degrees
Space group Pmmm (No. 47)
Symmetry-distinct sites (fractional):
Mo 0.000 0.000 0.000
Ir 0.500 0.000 0.500
Br 0.000 0.500 0.500
Br 0.500 0.500 0.000

Entry 23:
A plane-wave DFT calculation with PBE was carried out for crystalline Mo2Ir2Br at its relaxed geometry.

For the uncorrected formation energy, the calculation gives 0.2648 eV/atom. Its density of states at the Fermi level is 0.751 states/eV/atom. The total energy comes out at -7.947 eV per atom.

Cell lengths 7.768, 7.768, 2.822 Å; angles 90.00, 90.00, 90.00 degrees
Space group P4/mbm (No. 127)
Symmetry-distinct sites (fractional):
Mo 0.165 0.335 0.000
Ir 0.126 0.626 0.500
Br 0.000 0.000 0.000

Entry 24:
A plane-wave DFT calculation with PBE was carried out for crystalline MoIrBrN2 at its relaxed geometry.

For the uncorrected formation energy, the calculation gives 1.2692 eV/atom. Its density of states at the Fermi level is 0.504 states/eV/atom. The total energy comes out at -6.334 eV per atom.

Cell lengths 3.767, 3.767, 7.601 Å; angles 90.00, 90.00, 90.00 degrees
Space group P4/mmm (No. 123)
Symmetry-distinct sites (fractional):
Mo 0.000 0.000 0.000
Ir 0.500 0.500 0.500
Br 0.500 0.500 0.000
N 0.000 0.500 0.500

Entry 25:
A plane-wave DFT calculation with PBE was carried out for crystalline Ni2MoIrBr at its relaxed geometry.

For the uncorrected formation energy, the calculation gives 1.5024 eV/atom. Its density of states at the Fermi level is 1.377 states/eV/atom. The total energy comes out at -5.083 eV per atom.

Cell lengths 4.578, 4.578, 4.785 Å; angles 90.00, 90.00, 90.00 degrees
Space group P4/mmm (No. 123)
Symmetry-distinct sites (fractional):
Ni 0.000 0.500 0.000
Mo 0.000 0.000 0.000
Ir 0.000 0.000 0.500
Br 0.500 0.500 0.500